First-principles (PBE) data for a relaxed structure of ErTmScTl, as listed in Alexandria.

Computed properties:
- Fermi-level density of states (states/eV per atom) = 1.177
- energy above the most stable polymorph in this dataset (meV/atom) = 0
- total magnetic moment (μB per atom) = 0.30
- ΔE_f (kcal/mol of atoms) = -3.8

Cell lengths 4.6875, 4.7208, 4.7308 Å; angles 90.00, 90.00, 90.00 degrees
Closest atoms and distances in Å follow each position.
Fractional coordinates of all 4 atoms:
Er1 0.5000 0.0000 0.5000  4 Sc 3.33, 4 Tl 3.33, 4 Tm 3.34
Tm1 0.5000 0.5000 0.0000  4 Tl 3.33, 4 Sc 3.33, 4 Er 3.34
Sc1 0.0000 0.5000 0.5000  4 Er 3.33, 4 Tm 3.33, 4 Tl 3.34
Tl1 0.0000 0.0000 0.0000  4 Tm 3.33, 4 Er 3.33, 4 Sc 3.34